LaTb2Au | PBE-GGA | relaxed

The energy relative to the lowest polymorph listed for this composition is 0.012 eV per atom. The density of states at the Fermi level comes out at 22.526 states/eV/cell.

The structure belongs to space group Cmcm (No. 63); the cell edges are 5.0263, 12.2480 and 7.7721 Å and the angles 90.00°, 90.00° and 90.00°. Symmetry generates all atoms from La at (0.0000, 0.0504, 0.2500), Tb at (0.0000, 0.3538, 0.0334) and Au at (0.0000, 0.2017, 0.7500).